(1)
Below is Ni2HgSe2 at its PBEsol-relaxed geometry, with properties calculated at the SCAN level.

a b c (Å): 4.667 4.667 5.162
angles (deg): 116.88 116.88 90.00
Fractional coordinates of all 5 atoms:
Ni (0.669, 0.669, 0.337)
Ni (0.331, 0.331, 0.663)
Se (0.750, 0.250, 0.500)
Se (0.250, 0.750, 0.500)
Hg (0.000, 0.000, 0.000)

Properties
Total moment (μB per formula unit): 0.0
Space-group type: No. 139
Formation energy (no corrections) (eV/atom): 0.129
Crystal system: tetragonal
DFT total energy (eV per atom): -28.00
Energy above the lowest structure with this stoichiometry (kJ per mole of atoms): 26.41

=====

(2)
Below is NiHg2Se at its PBEsol-relaxed geometry, with properties calculated at the SCAN level.

a b c (Å): 2.995 2.995 9.023
angles (deg): 90.00 90.00 90.00
Fractional coordinates of all 4 atoms:
Hg (0.500, 0.500, 0.299)
Hg (0.000, 0.000, 0.998)
Ni (0.000, 0.000, 0.544)
Se (0.500, 0.500, 0.660)

Properties
Total moment (μB per formula unit): 0.0
Space-group type: No. 99
Formation energy (no corrections) (eV/atom): 0.050
Crystal system: tetragonal
DFT total energy (eV per atom): -43.10

=====

(3)
Below is Ni2HgSe2 at its PBEsol-relaxed geometry, with properties calculated at the SCAN level.

a b c (Å): 3.697 3.697 7.456
angles (deg): 104.36 104.36 90.00
Fractional coordinates of all 5 atoms:
Ni (0.250, 0.750, 0.500)
Ni (0.750, 0.250, 0.500)
Se (0.351, 0.351, 0.701)
Se (0.649, 0.649, 0.299)
Hg (0.000, 0.000, 0.000)

Properties
Total moment (μB per formula unit): 0.0
Space-group type: No. 139
Formation energy (no corrections) (eV/atom): -0.145
Crystal system: tetragonal
DFT total energy (eV per atom): -28.28
Energy above the lowest structure with this stoichiometry (kJ per mole of atoms): 0.00

=====

(4)
Below is Si3NiHg at its PBEsol-relaxed geometry, with properties calculated at the SCAN level.

a b c (Å): 4.890 4.890 4.890
angles (deg): 90.00 90.00 90.00
Fractional coordinates of all 5 atoms:
Si (0.500, 0.000, 0.000)
Si (0.000, 0.000, 0.500)
Si (0.000, 0.500, 0.000)
Ni (0.500, 0.500, 0.500)
Hg (0.000, 0.000, 0.000)

Properties
Total moment (μB per formula unit): 0.0
Space-group type: No. 221
Formation energy (no corrections) (eV/atom): 1.910
Crystal system: cubic
DFT total energy (eV per atom): -20.97

=====

(5)
Below is SiNi3Hg at its PBEsol-relaxed geometry, with properties calculated at the SCAN level.

a b c (Å): 4.608 4.608 4.608
angles (deg): 90.00 90.00 90.00
Site moments in Bohr magnetons follow the coordinates.
Fractional coordinates of all 5 atoms:
Si (0.500, 0.500, 0.500)  -0.07
Ni (0.500, 0.000, 0.000)  0.97
Ni (0.000, 0.000, 0.500)  0.97
Ni (0.000, 0.500, 0.000)  0.97
Hg (0.000, 0.000, 0.000)  -0.04

Properties
Total moment (μB per formula unit): 2.7
Space-group type: No. 221
Formation energy (no corrections) (eV/atom): 1.555
Crystal system: cubic
DFT total energy (eV per atom): -23.78

=====

(6)
Below is SrNi2Hg2 at its PBEsol-relaxed geometry, with properties calculated at the SCAN level.

a b c (Å): 4.196 4.196 6.493
angles (deg): 108.86 108.86 90.00
Fractional coordinates of all 5 atoms:
Ni (0.750, 0.250, 0.500)
Ni (0.250, 0.750, 0.500)
Hg (0.624, 0.624, 0.248)
Hg (0.376, 0.376, 0.752)
Sr (0.000, 0.000, 0.000)

Properties
Energy of formation from the pure elements (kcal/mol of atoms): -1.3
Total moment (μB per formula unit): 0.0
Space-group type: No. 139
Crystal system: tetragonal
DFT total energy (eV per atom): -38.25

=====

(7)
Below is Sr2TlNiHg at its PBEsol-relaxed geometry, with properties calculated at the SCAN level.

a b c (Å): 4.725 6.150 6.150
angles (deg): 90.00 90.00 90.00
Fractional coordinates of all 5 atoms:
Tl (0.000, 0.000, 0.000)
Ni (0.500, 0.000, 0.000)
Hg (0.500, 0.500, 0.500)
Sr (0.000, 0.000, 0.500)
Sr (0.000, 0.500, 0.000)

Properties
Energy of formation from the pure elements (kcal/mol of atoms): 1.8
Total moment (μB per formula unit): 0.0
Space-group type: No. 123
Crystal system: tetragonal
DFT total energy (eV per atom): -40.17

=====

(8)
Below is Ta2NiHg at its PBEsol-relaxed geometry, with properties calculated at the SCAN level.

a b c (Å): 2.963 3.923 5.941
angles (deg): 90.00 104.44 90.00
Fractional coordinates of all 4 atoms:
Hg (0.684, 0.000, 0.369)
Ta (0.318, 0.500, 0.636)
Ta (0.952, 0.000, 0.905)
Ni (0.540, 0.500, 0.080)

Properties
Energy of formation from the pure elements (kcal/mol of atoms): 3.8
Total moment (μB per formula unit): 0.0
Space-group type: No. 38
Crystal system: orthorhombic
DFT total energy (eV per atom): -54.21

=====

(9)
Below is Ta2NiHg at its PBEsol-relaxed geometry, with properties calculated at the SCAN level.

a b c (Å): 2.851 2.851 7.945
angles (deg): 90.00 90.00 90.00
Fractional coordinates of all 4 atoms:
Ta (0.000, 0.000, 0.715)
Ta (0.000, 0.000, 0.285)
Ni (0.500, 0.500, 0.500)
Hg (0.500, 0.500, 0.000)

Properties
Energy of formation from the pure elements (kcal/mol of atoms): 1.6
Total moment (μB per formula unit): 0.0
Space-group type: No. 123
Crystal system: tetragonal
DFT total energy (eV per atom): -54.31

=====

(10)
Below is TaNi6Hg at its PBEsol-relaxed geometry, with properties calculated at the SCAN level.

a b c (Å): 6.326 6.326 10.358
angles (deg): 90.00 90.00 109.39
Fractional coordinates of all 32 atoms:
Ta (0.000, 0.000, 0.249)
Ta (0.000, 0.000, 0.751)
Ta (0.247, 0.753, 0.500)
Ta (0.753, 0.247, 0.500)
Ni (0.366, 0.119, 0.870)
Ni (0.119, 0.366, 0.870)
Ni (0.634, 0.881, 0.870)
Ni (0.880, 0.627, 0.379)
Ni (0.881, 0.634, 0.870)
Ni (0.373, 0.120, 0.621)
Ni (0.120, 0.373, 0.621)
Ni (0.754, 0.246, 0.257)
Ni (0.627, 0.880, 0.379)
Ni (0.500, 0.500, 0.000)
Ni (0.880, 0.627, 0.621)
Ni (0.246, 0.754, 0.743)
Ni (0.500, 0.500, 0.500)
Ni (0.000, 0.000, 0.000)
Ni (0.119, 0.366, 0.130)
Ni (0.634, 0.881, 0.130)
Ni (0.754, 0.246, 0.743)
Ni (0.627, 0.880, 0.621)
Ni (0.120, 0.373, 0.379)
Ni (0.366, 0.119, 0.130)
Ni (0.881, 0.634, 0.130)
Ni (0.373, 0.120, 0.379)
Ni (0.246, 0.754, 0.257)
Ni (0.000, 0.000, 0.500)
Hg (0.500, 0.500, 0.750)
Hg (0.500, 0.500, 0.250)
Hg (0.253, 0.747, 0.000)
Hg (0.747, 0.253, 0.000)

Properties
Energy of formation from the pure elements (kcal/mol of atoms): -1.4
Total moment (μB per formula unit): 0.0
Space-group type: No. 65
Crystal system: orthorhombic
DFT total energy (eV per atom): -29.03

=====

(11)
Below is TaNiHg2 at its PBEsol-relaxed geometry, with properties calculated at the SCAN level.

a b c (Å): 2.983 2.983 9.069
angles (deg): 80.54 80.54 60.00
Fractional coordinates of all 4 atoms:
Hg (0.242, 0.242, 0.273)
Hg (0.758, 0.758, 0.727)
Ta (0.000, 0.000, 0.000)
Ni (0.500, 0.500, 0.500)

Properties
Energy of formation from the pure elements (kcal/mol of atoms): 9.0
Total moment (μB per formula unit): 0.0
Space-group type: No. 166
Crystal system: trigonal
DFT total energy (eV per atom): -54.38

=====

(12)
Below is TaNi2Hg at its PBEsol-relaxed geometry, with properties calculated at the SCAN level.

a b c (Å): 2.810 4.530 4.530
angles (deg): 96.12 90.00 90.00
Fractional coordinates of all 4 atoms:
Ta (0.500, 0.000, 0.000)
Ni (0.000, 0.000, 0.500)
Ni (0.000, 0.500, 0.000)
Hg (0.500, 0.500, 0.500)

Properties
Energy of formation from the pure elements (kcal/mol of atoms): 4.3
Total moment (μB per formula unit): 0.0
Space-group type: No. 65
Crystal system: orthorhombic
DFT total energy (eV per atom): -41.59

=====

(13)
Below is TaNiHg2 at its PBEsol-relaxed geometry, with properties calculated at the SCAN level.

a b c (Å): 2.811 5.084 5.084
angles (deg): 109.10 90.00 90.00
Site moments in Bohr magnetons follow the coordinates.
Fractional coordinates of all 4 atoms:
Ta (0.500, 0.500, 0.500)  0.12
Hg (0.000, 0.000, 0.500)  0.01
Hg (0.000, 0.500, 0.000)  0.01
Ni (0.500, 0.000, 0.000)  0.87

Properties
Energy of formation from the pure elements (kcal/mol of atoms): 10.6
Total moment (μB per formula unit): 1.0
Space-group type: No. 65
Crystal system: orthorhombic
DFT total energy (eV per atom): -54.31

=====

(14)
Below is TaNiHg2 at its PBEsol-relaxed geometry, with properties calculated at the SCAN level.

a b c (Å): 2.950 4.877 5.125
angles (deg): 102.85 90.00 107.60
Fractional coordinates of all 4 atoms:
Ni (0.000, 0.000, 0.500)
Ta (0.500, 0.000, 0.000)
Hg (0.261, 0.523, 0.264)
Hg (0.739, 0.477, 0.736)

Properties
Energy of formation from the pure elements (kcal/mol of atoms): 10.0
Total moment (μB per formula unit): 0.0
Space-group type: No. 12
Crystal system: monoclinic
DFT total energy (eV per atom): -54.34

=====

(15)
Below is TaNi2Hg at its PBEsol-relaxed geometry, with properties calculated at the SCAN level.

a b c (Å): 3.122 3.122 6.016
angles (deg): 90.00 90.00 90.00
Fractional coordinates of all 4 atoms:
Ni (0.000, 0.000, 0.787)
Ni (0.000, 0.000, 0.213)
Ta (0.500, 0.500, 0.000)
Hg (0.500, 0.500, 0.500)

Properties
Energy of formation from the pure elements (kcal/mol of atoms): -1.5
Total moment (μB per formula unit): 0.0
Space-group type: No. 123
Crystal system: tetragonal
DFT total energy (eV per atom): -41.84

=====

(16)
Below is Tc2NiHg at its PBEsol-relaxed geometry, with properties calculated at the SCAN level.

a b c (Å): 3.632 3.679 4.994
angles (deg): 111.10 111.33 90.00
Fractional coordinates of all 4 atoms:
Hg (0.500, 0.000, 0.000)
Ni (0.000, 0.500, 0.000)
Tc (0.750, 0.739, 0.499)
Tc (0.250, 0.261, 0.501)

Properties
Energy of formation from the pure elements (kcal/mol of atoms): 10.4
Total moment (μB per formula unit): 0.0
Space-group type: No. 12
Crystal system: monoclinic
DFT total energy (eV per atom): -38.16

=====

(17)
Below is Ni2HgTe at its PBEsol-relaxed geometry, with properties calculated at the SCAN level.

a b c (Å): 3.249 4.416 4.416
angles (deg): 90.00 90.00 90.00
Fractional coordinates of all 4 atoms:
Ni (0.000, 0.000, 0.500)
Ni (0.000, 0.500, 0.000)
Hg (0.500, 0.000, 0.000)
Te (0.500, 0.500, 0.500)

Properties
Total moment (μB per formula unit): 0.0
Space-group type: No. 123
Formation energy (no corrections) (eV/atom): 0.283
Crystal system: tetragonal
DFT total energy (eV per atom): -34.16
Energy above the lowest structure with this stoichiometry (kJ per mole of atoms): 0.00

=====

(18)
Below is Ni2HgTe at its PBEsol-relaxed geometry, with properties calculated at the SCAN level.

a b c (Å): 3.748 3.748 5.301
angles (deg): 110.70 110.70 90.00
Fractional coordinates of all 4 atoms:
Ni (0.000, 0.000, 0.000)
Ni (0.750, 0.250, 0.500)
Te (0.500, 0.500, 0.000)
Hg (0.250, 0.750, 0.500)

Properties
Total moment (μB per formula unit): 0.0
Space-group type: No. 119
Formation energy (no corrections) (eV/atom): 0.354
Crystal system: tetragonal
DFT total energy (eV per atom): -34.09
Energy above the lowest structure with this stoichiometry (kJ per mole of atoms): 6.79

=====

(19)
Below is TiNi3Hg at its PBEsol-relaxed geometry, with properties calculated at the SCAN level.

a b c (Å): 4.584 4.584 4.584
angles (deg): 90.00 90.00 90.00
Site moments in Bohr magnetons follow the coordinates.
Fractional coordinates of all 5 atoms:
Ni (0.000, 0.500, 0.000)  -0.56
Ni (0.000, 0.000, 0.500)  -0.56
Ni (0.500, 0.000, 0.000)  -0.56
Ti (0.500, 0.500, 0.500)  1.71
Hg (0.000, 0.000, 0.000)  0.01

Properties
Energy of formation from the pure elements (kcal/mol of atoms): 31.9
Total moment (μB per formula unit): 0.7
Space-group type: No. 221
Crystal system: cubic
DFT total energy (eV per atom): -25.16

=====

(20)
Below is Ti2NiHg at its PBEsol-relaxed geometry, with properties calculated at the SCAN level.

a b c (Å): 4.470 4.470 4.470
angles (deg): 60.00 60.00 60.00
Site moments in Bohr magnetons follow the coordinates.
Fractional coordinates of all 4 atoms:
Ni (0.000, 0.000, 0.000)  0.54
Ti (0.750, 0.750, 0.750)  0.65
Ti (0.250, 0.250, 0.250)  0.65
Hg (0.500, 0.500, 0.500)  0.04

Properties
Energy of formation from the pure elements (kcal/mol of atoms): -3.8
Total moment (μB per formula unit): 2.2
Space-group type: No. 225
Crystal system: cubic
DFT total energy (eV per atom): -29.27